Record 1
Computed, not measured: an optimized crystal structure of KGdSiS4 at the PBE level of DFT.

Lattice parameters (Å, degrees): 6.4549 6.6313 8.6698 90.00 107.36 90.00
Space group P2_1 (No. 4)
Inequivalent atoms, fractional coordinates:
1 K 0.2299 0.0000 0.4346
2 Gd 0.2709 0.9818 0.9501
3 Si 0.2775 0.5190 0.1752
4 S 0.0812 0.5171 0.3307
5 S 0.0822 0.5735 0.9331
6 S 0.4741 0.2527 0.2025
7 S 0.4810 0.2500 0.7765



Record 2
Computed, not measured: an optimized crystal structure of LuTlGaS3 at the PBE level of DFT.

Lattice parameters (Å, degrees): 4.2666 13.6559 10.3091 90.00 90.00 90.00
Space group Cmcm (No. 63)
Inequivalent atoms, fractional coordinates:
1 Lu 0.0000 0.0000 0.0000
2 Tl 0.0000 0.2619 0.2500
3 Ga 0.0000 0.4760 0.7500
4 S 0.0000 0.0579 0.7500
5 S 0.0000 0.3784 0.5596



Record 3
Computed, not measured: an optimized crystal structure of BaSmPO at the PBE level of DFT.

Lattice parameters (Å, degrees): 4.6443 7.6632 6.6957 90.00 90.00 90.00
Space group Pmc2_1 (No. 26)
Inequivalent atoms, fractional coordinates:
1 Ba 0.0000 0.1974 0.0000
2 Sm 0.5000 0.3800 0.5805
3 P 0.0000 0.2142 0.4773
4 O 0.5000 0.3660 0.9164



Record 4
Computed, not measured: an optimized crystal structure of Cs2RbCu3P2 at the PBE level of DFT.

Lattice parameters (Å, degrees): 6.1492 6.1492 20.4336 90.00 90.00 120.00
Space group R-3m (No. 166, hexagonal axes)
Inequivalent atoms, fractional coordinates:
1 Cs 0.0000 0.0000 0.0922
2 Rb 0.0000 0.0000 0.5000
3 Cu 0.0000 0.5000 0.0000
4 P 0.0000 0.0000 0.2654



no.,uncorrected energy (eV for the cell shown)
1,-75.45
2,-113.38
3,-49.87
4,-80.46